# ZnTePb2 (GGA-PBE, relaxed)
data_ZnTePb2
_space_group_name_H-M_alt 'P 4/m m m'
_space_group_IT_number 123
_space_group_name_Hall '-P 4 2'
_cell_length_a 5.199
_cell_length_b 5.199
_cell_length_c 4.270
_cell_angle_alpha 90.00
_cell_angle_beta 90.00
_cell_angle_gamma 90.00
loop_
_atom_site_label
_atom_site_type_symbol
_atom_site_fract_x
_atom_site_fract_y
_atom_site_fract_z
Zn1 Zn 0.000 0.000 0.000
Te1 Te 0.500 0.500 0.000
Pb1 Pb 0.000 0.500 0.500
# - Formation energy (no corrections): 0.035 eV per atom
# - Spin magnetization: 0.00 μB per formula unit